Record 1
Material: PmAs2
Method: DFT, PBE
State: optimized geometry

Cell and atoms, written as POSCAR:
```
PmAs2
1.0
-0.774 -3.918 -0.255
3.763 -0.664 -1.187
-0.206 1.753 5.120
As Pm
2 1
Direct
0.135 0.135 0.268
0.865 0.865 0.732
0.500 0.500 0.000
```

- energy above the most stable polymorph in this dataset (eV per formula unit) = 0.68

---

Record 2
Material: LiHf2CdH
Method: DFT, PBE
State: optimized geometry

Cell and atoms, written as POSCAR:
```
LiHf2CdH
1.0
-3.908 0.268 -1.862
-1.503 -3.026 2.720
-1.124 3.076 2.801
H Li Hf Cd
1 1 2 1
Direct
0.000 0.000 0.000
0.000 0.000 0.500
0.000 0.500 0.000
0.500 0.000 0.000
0.500 0.500 0.500
```

---

no.,total magnetic moment (μB/f.u.),calculated total energy (eV/atom)
1,0.00,-5.453
2,0.00,-5.256